Compound: Ta2MnAl2
Source: Alexandria via LeMat-Bulk
Functional: PBE
Structure: optimized geometry

Values from the calculation:
* ΔE_f: 0.6702 eV/atom
* ΔE to the lowest computed polymorph: 3.64 eV per formula unit
* V: 89 Å³/cell

abc: 6.9081 6.9081 6.9081
angles: 148.66 148.66 44.92
With the nearest neighbours (Å) after each atom.
Atoms (fractional coordinates):
1 Ta 0.2500 0.7500 0.5000  4 Ta 2.64, 4 Al 2.74
2 Ta 0.7500 0.2500 0.5000  4 Ta 2.64, 4 Al 2.74
3 Mn 0.0000 0.0000 0.0000  8 Al 2.89
4 Al 0.4077 0.4077 0.0000  1 Al 2.36
5 Al 0.5923 0.5923 0.0000  1 Al 2.36

Compound: TaMn2AlW
Source: Alexandria via LeMat-Bulk
Functional: PBE
Structure: optimized geometry

Values from the calculation:
* ΔE_f: 1.4160 eV/atom
* V: 102 Å³/cell

abc: 4.5399 4.5399 4.9328
angles: 90.00 90.00 90.00
With the nearest neighbours (Å) after each atom.
Atoms (fractional coordinates):
1 Ta 0.0000 0.0000 0.0000  2 W 2.47
2 Mn 0.0000 0.5000 0.5000  2 W 2.27
3 Mn 0.5000 0.0000 0.5000  2 W 2.27
4 Al 0.5000 0.5000 0.0000  4 Ta 3.21, 8 Mn 3.35
5 W 0.0000 0.0000 0.5000  4 Mn 2.27, 2 Ta 2.47

Compound: TbMnAl3
Source: Alexandria via LeMat-Bulk
Functional: PBE
Structure: optimized geometry

Values from the calculation:
* ΔE_f: -0.2406 eV/atom
* ΔE to the lowest computed polymorph: 0.16 eV per formula unit
* V: 94 Å³/cell

abc: 4.5488 4.5488 4.5488
angles: 90.00 90.00 90.00
With the nearest neighbours (Å) after each atom.
Atoms (fractional coordinates):
1 Tb 0.0000 0.0000 0.0000  12 Al 3.22
2 Mn 0.5000 0.5000 0.5000  6 Al 2.27
3 Al 0.0000 0.5000 0.5000  2 Mn 2.27
4 Al 0.5000 0.0000 0.5000  2 Mn 2.27
5 Al 0.5000 0.5000 0.0000  2 Mn 2.27

Compound: TbMnAl6
Source: Alexandria via LeMat-Bulk
Functional: PBE
Structure: optimized geometry

Values from the calculation:
* ΔE_f: -0.0473 eV/atom
* V: 151 Å³/cell

abc: 5.7102 5.7102 5.7102
angles: 107.86 107.86 107.86
With the nearest neighbours (Å) after each atom.
Atoms (fractional coordinates):
1 Tb 0.0000 0.0000 0.0000  12 Al 3.04-3.25, 2 Mn 3.07
2 Mn 0.5000 0.5000 0.5000  6 Al 2.43
3 Al 0.2292 0.2292 0.6608  1 Mn 2.43, 1 Al 2.64
4 Al 0.2292 0.6608 0.2292  1 Mn 2.43, 1 Al 2.64
5 Al 0.3392 0.7708 0.7708  1 Mn 2.43, 1 Al 2.64
6 Al 0.6608 0.2292 0.2292  1 Mn 2.43, 1 Al 2.64
7 Al 0.7708 0.3392 0.7708  1 Mn 2.43, 1 Al 2.64
8 Al 0.7708 0.7708 0.3392  1 Mn 2.43, 1 Al 2.64

Compound: TbMnAl
Source: Alexandria via LeMat-Bulk
Functional: PBE
Structure: optimized geometry

Values from the calculation:
* ΔE_f: -0.1141 eV/atom
* V: 64 Å³/cell

abc: 4.5996 4.5996 3.4660
angles: 90.00 90.00 120.00
With the nearest neighbours (Å) after each atom.
Atoms (fractional coordinates):
1 Tb 0.0000 0.0000 0.0000  6 Mn 3.17, 6 Al 3.17, 2 Tb 3.47
2 Mn 0.6667 0.3333 0.5000  3 Al 2.66
3 Al 0.3333 0.6667 0.5000  3 Mn 2.66

Compound: TbMnAl
Source: Alexandria via LeMat-Bulk
Functional: PBE
Structure: optimized geometry

Values from the calculation:
* ΔE_f: -0.2215 eV/atom
* V: 116 Å³/cell

abc: 5.4475 5.4475 5.4475
angles: 119.63 118.82 91.35
With the nearest neighbours (Å) after each atom.
Atoms (fractional coordinates):
1 Tb 0.3689 0.1189 0.2500  6 Mn 3.12-3.25, 6 Al 3.20-3.21, 4 Tb 3.31-3.39
2 Tb 0.6311 0.8811 0.7500  6 Mn 3.12-3.25, 6 Al 3.20-3.21, 4 Tb 3.31-3.39
3 Mn 0.0000 0.0000 0.5000  4 Al 2.72, 2 Mn 2.74
4 Mn 0.0000 0.5000 0.0000  4 Al 2.72, 2 Mn 2.74
5 Al 0.0000 0.5000 0.5000  4 Mn 2.72, 2 Al 2.77
6 Al 0.5000 0.5000 0.0000  4 Mn 2.72, 2 Al 2.77

Compound: TbMnAl3
Source: Alexandria via LeMat-Bulk
Functional: PBE
Structure: optimized geometry

Values from the calculation:
* ΔE_f: -0.2733 eV/atom
* ΔE to the lowest computed polymorph: 0.00 eV per formula unit
* V: 184 Å³/cell

abc: 6.2476 6.2476 5.4411
angles: 90.00 90.00 120.00
With the nearest neighbours (Å) after each atom.
Atoms (fractional coordinates):
1 Tb 0.3333 0.6667 0.2500  12 Al 3.13-3.15
2 Tb 0.6667 0.3333 0.7500  12 Al 3.13-3.15
3 Mn 0.0000 0.0000 0.0000  6 Al 2.44, 2 Mn 2.72
4 Mn 0.0000 0.0000 0.5000  6 Al 2.44, 2 Mn 2.72
5 Al 0.1870 0.3740 0.7500  2 Mn 2.44
6 Al 0.1870 0.8130 0.7500  2 Mn 2.44
7 Al 0.3740 0.1870 0.2500  2 Mn 2.44
8 Al 0.6260 0.8130 0.7500  2 Mn 2.44
9 Al 0.8130 0.1870 0.2500  2 Mn 2.44
10 Al 0.8130 0.6260 0.2500  2 Mn 2.44

Compound: TbMn2Al8
Source: Alexandria via LeMat-Bulk
Functional: PBE
Structure: optimized geometry

Values from the calculation:
* ΔE_f: -0.0792 eV/atom
* V: 197 Å³/cell

abc: 6.6702 6.6702 4.6711
angles: 97.92 97.92 103.22
With the nearest neighbours (Å) after each atom.
Atoms (fractional coordinates):
1 Tb 0.0000 0.0000 0.0000  12 Al 2.98-3.29
2 Mn 0.2897 0.7103 0.5000  8 Al 2.34-2.58
3 Mn 0.7103 0.2897 0.5000  8 Al 2.34-2.58
4 Al 0.0922 0.3533 0.5984  2 Mn 2.45-2.58, 2 Al 2.73
5 Al 0.2846 0.7154 0.0000  2 Mn 2.34
6 Al 0.3533 0.0922 0.5984  2 Mn 2.45-2.58, 2 Al 2.73
7 Al 0.3916 0.3916 0.2378  2 Mn 2.58, 5 Al 2.70-2.78
8 Al 0.6084 0.6084 0.7622  2 Mn 2.58, 5 Al 2.70-2.78
9 Al 0.6467 0.9078 0.4016  2 Mn 2.45-2.58, 2 Al 2.73
10 Al 0.7154 0.2846 0.0000  2 Mn 2.34
11 Al 0.9078 0.6467 0.4016  2 Mn 2.45-2.58, 2 Al 2.73

Compound: TbThMnAl
Source: Alexandria via LeMat-Bulk
Functional: PBE
Structure: optimized geometry

Values from the calculation:
* ΔE_f: 0.0090 eV/atom
* V: 96 Å³/cell

abc: 5.1421 5.1421 5.1421
angles: 60.00 60.00 60.00
With the nearest neighbours (Å) after each atom.
Atoms (fractional coordinates):
1 Tb 0.0000 0.0000 0.0000  4 Mn 3.15, 4 Al 3.15
2 Th 0.5000 0.5000 0.5000  4 Mn 3.15, 4 Al 3.15
3 Mn 0.7500 0.7500 0.7500  4 Tb 3.15, 4 Th 3.15
4 Al 0.2500 0.2500 0.2500  4 Tb 3.15, 4 Th 3.15

Compound: Mn2AlTc
Source: Alexandria via LeMat-Bulk
Functional: PBE
Structure: optimized geometry

Values from the calculation:
* ΔE_f: -0.0696 eV/atom
* V: 53 Å³/cell

abc: 2.7781 3.5888 5.3042
angles: 90.00 90.00 90.00
With the nearest neighbours (Å) after each atom.
Atoms (fractional coordinates):
1 Mn 0.0000 0.0000 0.2456  4 Mn 2.61-2.78, 4 Tc 2.62, 4 Al 2.64
2 Mn 0.0000 0.0000 0.7544  4 Mn 2.61-2.78, 4 Tc 2.62, 4 Al 2.64
3 Al 0.5000 0.5000 0.5000  8 Mn 2.64, 2 Tc 2.65, 2 Al 2.78
4 Tc 0.5000 0.5000 0.0000  8 Mn 2.62, 2 Al 2.65, 2 Tc 2.78

Compound: MnAl2Tc
Source: Alexandria via LeMat-Bulk
Functional: PBE
Structure: optimized geometry

Values from the calculation:
* ΔE_f: -0.2088 eV/atom
* ΔE to the lowest computed polymorph: 0.42 eV per formula unit
* V: 56 Å³/cell

abc: 4.8514 4.8514 4.8514
angles: 134.95 134.95 65.60
With the nearest neighbours (Å) after each atom.
Atoms (fractional coordinates):
1 Mn 0.0000 0.0000 0.0000  8 Al 2.63-2.76, 4 Tc 2.76
2 Al 0.5000 0.5000 0.0000  4 Mn 2.63, 4 Tc 2.76, 4 Al 2.76
3 Al 0.7500 0.2500 0.5000  4 Tc 2.63, 4 Mn 2.76, 4 Al 2.76
4 Tc 0.2500 0.7500 0.5000  8 Al 2.63-2.76, 4 Mn 2.76

Compound: Mn2AlTc
Source: Alexandria via LeMat-Bulk
Functional: PBE
Structure: optimized geometry

Values from the calculation:
* ΔE_f: -0.0697 eV/atom
* V: 53 Å³/cell

abc: 3.1919 4.0374 4.0763
angles: 90.00 90.00 90.00
With the nearest neighbours (Å) after each atom.
Atoms (fractional coordinates):
1 Mn 0.0000 0.0000 0.0000  4 Tc 2.57, 4 Mn 2.59, 4 Al 2.87
2 Mn 0.5000 0.0000 0.5000  4 Al 2.57, 4 Mn 2.59, 4 Tc 2.87
3 Al 0.0000 0.5000 0.5000  8 Mn 2.57-2.87, 4 Tc 2.59
4 Tc 0.5000 0.5000 0.0000  8 Mn 2.57-2.87, 4 Al 2.59

Compound: Mn2AlTc
Source: Alexandria via LeMat-Bulk
Functional: PBE
Structure: optimized geometry

Values from the calculation:
* ΔE_f: -0.1247 eV/atom
* V: 53 Å³/cell

abc: 4.2037 4.2037 4.2037
angles: 60.00 60.00 60.00
With the nearest neighbours (Å) after each atom.
Atoms (fractional coordinates):
1 Mn 0.0000 0.0000 0.0000  4 Tc 2.57, 4 Mn 2.57
2 Mn 0.2500 0.2500 0.2500  4 Mn 2.57, 4 Al 2.57
3 Al 0.5000 0.5000 0.5000  4 Mn 2.57, 4 Tc 2.57
4 Tc 0.7500 0.7500 0.7500  4 Al 2.57, 4 Mn 2.57

Compound: MnAlTc
Source: Alexandria via LeMat-Bulk
Functional: PBE
Structure: optimized geometry

Values from the calculation:
* ΔE_f: 0.0658 eV/atom
* ΔE to the lowest computed polymorph: 1.13 eV per formula unit
* V: 45 Å³/cell

abc: 3.9982 3.9982 3.9982
angles: 60.00 60.00 60.00
With the nearest neighbours (Å) after each atom.
Atoms (fractional coordinates):
1 Mn 0.0000 0.0000 0.0000  4 Tc 2.45, 4 Al 2.45
2 Al 0.2500 0.2500 0.2500  4 Mn 2.45
3 Tc 0.7500 0.7500 0.7500  4 Mn 2.45